# 1
Density functional theory data (GGA-PBE) for a relaxed structure of ThZn9Ni2.

Output
energy relative to the lowest polymorph listed for this composition	0	meV per atom
crystal system	tetragonal

Cell and atoms, written as extended XYZ:
```
24
Lattice="2.164 -5.665 2.903 -2.448 -6.811 -3.683 7.126 -2.704 -2.804" Properties=species:S:1:pos:R:3 pbc="T T T"
Ni 4.320 -9.260 -3.776
Zn 4.928 -7.165 -5.018
Th 1.082 -2.832 1.451
Ni 1.839 -10.741 -0.923
Zn 5.895 -5.075 -3.582
Ni 6.626 -8.687 -0.484
Zn 3.962 -9.006 -1.066
Th 2.880 -6.174 -2.517
Zn 6.049 -10.353 -2.320
Zn 1.098 -5.882 0.341
Zn 1.302 -8.304 -0.645
Ni 3.063 -7.335 0.918
Zn 3.436 -4.879 0.556
Zn 1.916 -9.244 -2.938
Zn 0.000 0.000 0.000
Zn 3.711 -11.356 -2.534
Zn 2.863 -3.124 -1.407
Zn -0.402 -6.573 -1.811
Zn 0.212 -7.513 -4.104
Zn 5.192 -6.635 -0.288
Zn 5.806 -7.575 -2.580
Zn 2.591 -8.168 -5.232
Zn 5.281 -4.135 -1.289
Zn 0.526 -4.127 -1.622
```

# 2
Density functional theory data (GGA-PBE) for a relaxed structure of ThZn9Ni2.

Output
energy relative to the lowest polymorph listed for this composition	135	meV per atom
crystal system	hexagonal

Cell and atoms, written as extended XYZ:
```
12
Lattice="-2.689 -1.189 -0.970 -2.265 -1.428 8.031 -1.927 7.369 -3.695" Properties=species:S:1:pos:R:3 pbc="T T T"
Zn -4.347 2.759 3.726
Ni -2.152 1.505 4.122
Zn -0.963 3.684 -1.848
Zn -3.337 5.064 -1.900
Th 0.000 0.000 0.000
Zn -1.132 -0.714 4.016
Zn -2.096 2.971 2.168
Zn -4.281 4.469 1.447
Zn -3.544 -0.312 5.266
Ni -2.039 4.437 0.214
Zn -2.600 0.283 1.919
Zn -2.534 1.993 -0.360
```

# 3
Density functional theory data (GGA-PBE) for a relaxed structure of Th4Zn5Ni2.

Output
crystal system	monoclinic

Cell and atoms, written as extended XYZ:
```
11
Lattice="-2.732 -2.552 0.387 2.436 -3.472 -5.698 5.191 -4.676 5.824" Properties=species:S:1:pos:R:3 pbc="T T T"
Zn 4.711 -4.812 1.529
Th 1.373 -4.803 -3.734
Ni 4.155 -4.937 -3.226
Th 1.529 -4.195 1.386
Zn 2.916 -3.335 -1.402
Zn 6.337 -6.731 0.353
Ni 3.472 -3.210 3.352
Zn 1.291 -1.416 -0.227
Th 3.523 -5.896 4.247
Zn 1.218 -1.736 -2.849
Th 3.366 -6.504 -0.873
```

# 4
Density functional theory data (GGA-PBE) for a relaxed structure of ThZnNi.

Output
crystal system	orthorhombic

Cell and atoms, written as extended XYZ:
```
18
Lattice="-0.769 1.406 3.482 1.846 -6.298 2.951 12.039 4.015 1.037" Properties=species:S:1:pos:R:3 pbc="T T T"
Th 6.874 -2.893 2.686
Zn 11.113 0.561 4.337
Zn 4.067 -3.213 4.305
Th 11.970 2.263 1.729
Zn 4.816 -0.500 3.375
Th 7.011 0.609 1.302
Zn 9.049 2.335 3.165
Ni 12.247 -1.623 5.469
Th 3.248 0.189 0.641
Ni 8.535 -2.861 5.149
Ni 4.020 -2.444 1.875
Th 10.636 -2.473 3.347
Th 1.915 -4.546 2.259
Ni 0.869 0.746 2.000
Zn 2.003 -1.438 3.133
Zn 8.300 -0.377 4.095
Ni 9.864 0.161 2.113
Ni 4.582 1.984 2.320
```

# 5
Density functional theory data (GGA-PBE) for a relaxed structure of Th2Zn3Ni4.

Output
crystal system	orthorhombic

Cell and atoms, written as extended XYZ:
```
18
Lattice="-3.503 3.514 -2.083 -0.301 -3.789 -5.885 -4.253 -5.957 4.054" Properties=species:S:1:pos:R:3 pbc="T T T"
Ni -6.240 -5.558 -2.357
Ni -2.284 -5.106 -4.772
Zn 0.000 0.000 0.000
Th -4.703 -3.566 1.894
Zn -1.902 -0.138 -3.984
Ni -5.773 -1.127 0.857
Zn -5.480 -0.255 -1.640
Th -3.354 -2.667 -5.808
Ni -3.897 -1.603 -3.102
Zn -4.329 -4.221 -3.315
Ni -3.569 1.082 -2.599
Ni -1.818 -0.675 -1.557
Th -1.498 -3.113 -2.732
Th -6.559 -3.119 -1.182
Ni -4.161 -4.629 -0.812
Zn -3.728 -2.012 -0.599
Zn -2.578 -5.978 -2.274
Ni -4.488 -7.315 -1.315
```

# 6
Density functional theory data (GGA-PBE) for a relaxed structure of Th3Zn2Ni6.

Output
crystal system	cubic

Cell and atoms, written as extended XYZ:
```
22
Lattice="-1.744 7.298 2.257 -4.063 -1.777 -6.461 -1.865 -5.019 5.721" Properties=species:S:1:pos:R:3 pbc="T T T"
Ni -3.269 1.329 -3.477
Ni -1.823 -0.804 4.536
Ni -4.015 -0.436 -1.691
Zn -0.932 -2.510 2.861
Zn -3.836 0.251 0.759
Ni -3.656 0.938 3.209
Ni -2.617 -3.910 1.553
Th -2.571 1.624 5.684
Ni -1.785 3.083 3.442
Ni -2.537 4.193 -0.726
Zn -0.872 3.649 1.128
Ni -3.310 -2.887 -2.292
Th -4.136 3.933 -2.995
Ni -3.263 -1.546 2.477
Th -4.223 -4.842 -0.527
Th -1.038 0.656 2.295
Zn -2.031 -0.889 -3.230
Ni -3.222 2.669 1.292
Ni -4.408 2.048 -0.960
Th -1.705 -1.955 -0.213
Ni -4.449 -2.167 0.226
Th -1.670 1.588 -1.209
```

# 7
Density functional theory data (GGA-PBE) for a relaxed structure of Th2ZrNi.

Output
energy relative to the lowest polymorph listed for this composition	377	meV per atom
crystal system	trigonal

Cell and atoms, written as extended XYZ:
```
4
Lattice="3.442 0.000 0.000 1.721 2.981 0.000 1.721 0.994 10.129" Properties=species:S:1:pos:R:3 pbc="T T T"
Th 1.721 0.994 7.065
Ni 3.442 1.987 5.064
Zr 0.000 0.000 0.000
Th 5.163 2.981 3.064
```

# 8
Density functional theory data (GGA-PBE) for a relaxed structure of ThZrNi4.

Output
crystal system	cubic

Cell and atoms, written as extended XYZ:
```
6
Lattice="-3.812 2.680 1.995 -0.738 0.011 5.015 0.979 4.179 2.697" Properties=species:S:1:pos:R:3 pbc="T T T"
Ni -2.728 2.196 4.717
Ni -0.316 2.950 5.071
Zr 0.000 0.000 0.000
Th -0.893 1.717 2.427
Ni -1.864 4.294 3.551
Ni -2.235 4.299 6.075
```

| no. | calculated volume (Å³/cell) | E_form (eV/atom) |
| --- | --- | --- |
| 1 | 367.4 | -0.263 |
| 2 | 192.2 | -0.128 |
| 3 | 242.2 | -0.260 |
| 4 | 351.2 | -0.414 |
| 5 | 298.7 | -0.371 |
| 6 | 370.4 | -0.422 |
| 7 | 103.9 | 0.300 |
| 8 | 92.1 | -0.335 |